Entry 1:
Pr2Cd3 | PBE | optimized geometry

abc: 3.5345 5.0874 15.3826
angles: 90.00 96.60 90.00
Last column: nearest neighbours and their distance in Å.
Fractional positions:
Cd  0.8275  0.2500  0.6550  2 Cd 3.02, 4 Pr 3.33
Cd  0.0234  0.2500  0.0468  3 Cd 2.92-2.93
Cd  0.1194  0.2500  0.2388  3 Cd 2.93-3.02
Cd  0.8806  0.7500  0.7612  3 Cd 2.93-3.02
Cd  0.1725  0.7500  0.3450  2 Cd 3.02, 4 Pr 3.33
Cd  0.9766  0.7500  0.9532  3 Cd 2.92-2.93
Pr  0.5732  0.7500  0.1465  12 Cd 3.40-3.51, 2 Pr 3.53
Pr  0.7129  0.2500  0.4257  7 Cd 3.33-3.50, 2 Pr 3.53
Pr  0.2871  0.7500  0.5743  7 Cd 3.33-3.50, 2 Pr 3.53
Pr  0.4268  0.2500  0.8535  12 Cd 3.40-3.51, 2 Pr 3.53

Output
distance to the lowest polymorph of the same formula: 0.0 kJ per mole of atoms
ΔH_f (0 K): -313 meV/atom
SG: Cmcm, No. 63
V: 27.476 Å³ per atom

=====

Entry 2:
Pr4Cd | PBE | optimized geometry

abc: 7.0321 6.2161 9.8987
angles: 79.00 69.19 57.52
Last column: nearest neighbours and their distance in Å.
Fractional positions:
Cd  0.9397  0.7500  0.1206  6 Pr 3.23-3.29
Cd  0.0603  0.2500  0.8794  6 Pr 3.23-3.29
Pr  0.9750  0.2389  0.5778  1 Cd 3.27, 7 Pr 3.40-3.64
Pr  0.4472  0.2611  0.5778  1 Cd 3.27, 7 Pr 3.40-3.64
Pr  0.2350  0.1275  0.1603  2 Cd 3.23-3.29, 1 Pr 3.57
Pr  0.5528  0.7389  0.4222  1 Cd 3.27, 7 Pr 3.40-3.64
Pr  0.6047  0.3725  0.1603  2 Cd 3.23-3.29, 1 Pr 3.57
Pr  0.0250  0.7611  0.4222  1 Cd 3.27, 7 Pr 3.40-3.64
Pr  0.3953  0.6275  0.8397  2 Cd 3.23-3.29, 1 Pr 3.57
Pr  0.7650  0.8725  0.8397  2 Cd 3.23-3.29, 1 Pr 3.57

Output
distance to the lowest polymorph of the same formula: 12.5 kJ per mole of atoms
ΔH_f (0 K): 11 meV/atom
SG: C2/c, No. 15
V: 34.122 Å³ per atom

=====

Entry 3:
Pr5Cd2 | PBE | optimized geometry

abc: 8.1389 6.7726 9.1528
angles: 92.47 116.40 90.00
Last column: nearest neighbours and their distance in Å.
Fractional positions:
Pr  0.8036  0.1966  0.4704  3 Cd 3.24-3.43, 3 Pr 3.54-3.56
Pr  0.9339  0.0225  0.1531  3 Cd 3.23-3.44, 3 Pr 3.42-3.54
Pr  0.0661  0.9775  0.8469  3 Cd 3.23-3.44, 3 Pr 3.42-3.54
Pr  0.1964  0.8034  0.5296  3 Cd 3.24-3.43, 3 Pr 3.54-3.56
Pr  0.7808  0.4775  0.8469  3 Cd 3.23-3.44, 3 Pr 3.42-3.54
Pr  0.4680  0.2500  0.0000  4 Cd 3.25-3.53, 4 Pr 3.43
Pr  0.5320  0.7500  0.0000  4 Cd 3.25-3.53, 4 Pr 3.43
Pr  0.6668  0.6966  0.4704  3 Cd 3.24-3.43, 3 Pr 3.54-3.56
Pr  0.2192  0.5225  0.1531  3 Cd 3.23-3.44, 3 Pr 3.42-3.54
Pr  0.3332  0.3034  0.5296  3 Cd 3.24-3.43, 3 Pr 3.54-3.56
Cd  0.8829  0.5080  0.2497  8 Pr 3.23-3.53
Cd  0.1171  0.4920  0.7503  8 Pr 3.23-3.53
Cd  0.6331  0.9920  0.7503  8 Pr 3.23-3.53
Cd  0.3669  0.0080  0.2497  8 Pr 3.23-3.53

Output
distance to the lowest polymorph of the same formula: 2.0 kJ per mole of atoms
ΔH_f (0 K): -119 meV/atom
SG: C2/c, No. 15
V: 32.242 Å³ per atom

=====

Entry 4:
Pr5Cd | PBE | optimized geometry

abc: 3.8251 9.1513 6.6668
angles: 66.27 73.33 77.94
Last column: nearest neighbours and their distance in Å.
Fractional positions:
Pr  0.0366  0.9841  0.9427  2 Cd 3.34, 5 Pr 3.55-3.73
Pr  0.3683  0.7767  0.4867  2 Cd 3.35, 3 Pr 3.64-3.71
Pr  0.0386  0.4020  0.5209  2 Cd 3.50, 10 Pr 3.55-3.83
Pr  0.6725  0.6339  0.0212  11 Pr 3.55-3.83
Pr  0.3348  0.2841  0.0463  2 Cd 3.31, 7 Pr 3.55-3.67
Cd  0.7160  0.0858  0.4822  8 Pr 3.31-3.50

Output
distance to the lowest polymorph of the same formula: 1.4 kJ per mole of atoms
ΔH_f (0 K): -86 meV/atom
SG: Cm, No. 8
V: 33.916 Å³ per atom

=====

Entry 5:
Pr4Cd | PBE | optimized geometry

abc: 3.7682 3.7682 12.1226
angles: 98.94 98.94 90.00
Last column: nearest neighbours and their distance in Å.
Fractional positions:
Cd  0.0000  0.0000  0.0000  8 Pr 3.37, 4 Cd 3.77
Pr  0.4131  0.4131  0.8261  4 Cd 3.37, 8 Pr 3.70-3.77
Pr  0.5869  0.5869  0.1739  4 Cd 3.37, 8 Pr 3.70-3.77
Pr  0.1954  0.1954  0.3908  12 Pr 3.70-3.77
Pr  0.8046  0.8046  0.6092  12 Pr 3.70-3.77

Output
distance to the lowest polymorph of the same formula: 0.0 kJ per mole of atoms
ΔH_f (0 K): -118 meV/atom
SG: I4/mmm, No. 139
V: 33.584 Å³ per atom

=====

Entry 6:
Pr7Cd3 | PBE | optimized geometry

abc: 6.9064 10.5097 10.5097
angles: 120.00 90.00 90.00
Last column: nearest neighbours and their distance in Å.
Fractional positions:
Pr  0.6720  0.9373  0.4687  4 Cd 3.21-3.43, 1 Pr 3.55
Pr  0.5426  0.3333  0.6667  3 Cd 3.23, 3 Pr 3.55
Pr  0.6720  0.5313  0.0627  4 Cd 3.21-3.43, 1 Pr 3.55
Pr  0.9193  0.2469  0.1235  3 Cd 3.27-3.41
Pr  0.1720  0.4687  0.5313  4 Cd 3.21-3.43, 1 Pr 3.55
Pr  0.0426  0.6667  0.3333  3 Cd 3.23, 3 Pr 3.55
Pr  0.4193  0.7531  0.8765  3 Cd 3.27-3.41
Pr  0.9193  0.8765  0.7531  3 Cd 3.27-3.41
Pr  0.4193  0.1235  0.8765  3 Cd 3.27-3.41
Pr  0.4193  0.1235  0.2469  3 Cd 3.27-3.41
Pr  0.1720  0.4687  0.9373  4 Cd 3.21-3.43, 1 Pr 3.55
Pr  0.9193  0.8765  0.1235  3 Cd 3.27-3.41
Pr  0.6720  0.5313  0.4687  4 Cd 3.21-3.43, 1 Pr 3.55
Pr  0.1720  0.0627  0.5313  4 Cd 3.21-3.43, 1 Pr 3.55
Cd  0.8638  0.5907  0.7953  8 Pr 3.21-3.43
Cd  0.8638  0.2047  0.4093  8 Pr 3.21-3.43
Cd  0.3638  0.7953  0.5907  8 Pr 3.21-3.43
Cd  0.3638  0.4093  0.2047  8 Pr 3.21-3.43
Cd  0.8638  0.2047  0.7953  8 Pr 3.21-3.43
Cd  0.3638  0.7953  0.2047  8 Pr 3.21-3.43

Output
ΔH_f (0 K): -107 meV/atom
SG: P6_3mc, No. 186
V: 33.032 Å³ per atom

=====

Entry 7:
Pr5Cd | PBE | optimized geometry

abc: 3.7418 3.7418 14.5485
angles: 90.00 90.00 90.00
Last column: nearest neighbours and their distance in Å.
Fractional positions:
Cd  0.5000  0.5000  0.5000  8 Pr 3.37, 4 Cd 3.74
Pr  0.0000  0.0000  0.3566  4 Cd 3.37, 8 Pr 3.69-3.74
Pr  0.0000  0.0000  0.6434  4 Cd 3.37, 8 Pr 3.69-3.74
Pr  0.5000  0.5000  0.1793  12 Pr 3.69-3.74
Pr  0.5000  0.5000  0.8207  12 Pr 3.69-3.74
Pr  0.0000  0.0000  0.0000  12 Pr 3.72-3.74

Output
distance to the lowest polymorph of the same formula: 0.0 kJ per mole of atoms
ΔH_f (0 K): -100 meV/atom
SG: P4/mmm, No. 123
V: 33.950 Å³ per atom

=====

Entry 8:
PrCd | PBE | optimized geometry

abc: 3.8870 3.8813 3.8885
angles: 90.02 90.00 90.00
Last column: nearest neighbours and their distance in Å.
Fractional positions:
Pr  0.0000  0.4957  0.0044  8 Cd 3.36-3.37
Cd  0.5000  0.9955  0.5044  8 Pr 3.36-3.37

Output
ΔH_f (0 K): -319 meV/atom
SG: Pm-3m, No. 221
V: 29.333 Å³ per atom

=====

Entry 9:
Pr2Cd3 | PBE | optimized geometry

abc: 5.1872 5.1872 6.6536
angles: 67.06 67.06 60.00
Last column: nearest neighbours and their distance in Å.
Fractional positions:
Cd  0.0000  0.0000  0.0000  6 Pr 3.25, 2 Cd 3.33
Cd  0.1869  0.1869  0.4394  4 Cd 3.08-3.33, 3 Pr 3.28
Cd  0.8131  0.8131  0.5606  4 Cd 3.08-3.33, 3 Pr 3.28
Pr  0.5955  0.5955  0.2135  9 Cd 3.25-3.64, 1 Pr 3.40
Pr  0.4045  0.4045  0.7865  9 Cd 3.25-3.64, 1 Pr 3.40

Output
distance to the lowest polymorph of the same formula: 4.1 kJ per mole of atoms
ΔH_f (0 K): -270 meV/atom
SG: R-3m, No. 166
V: 27.690 Å³ per atom

=====

Entry 10:
PrCd5 | PBE | optimized geometry

abc: 4.8410 4.7326 6.8833
angles: 110.11 90.00 90.00
Last column: nearest neighbours and their distance in Å.
Fractional positions:
Cd  0.5000  0.1688  0.3375  10 Cd 3.13-3.39, 2 Pr 3.26
Cd  0.5000  0.5000  0.0000  8 Cd 3.22-3.34, 4 Pr 3.38
Cd  0.0000  0.6781  0.3562  6 Cd 3.01-3.34, 2 Pr 3.30
Cd  0.5000  0.8312  0.6625  10 Cd 3.13-3.39, 2 Pr 3.26
Cd  0.0000  0.3219  0.6438  6 Cd 3.01-3.34, 2 Pr 3.30
Pr  0.0000  0.0000  0.0000  12 Cd 3.26-3.38

Output
ΔH_f (0 K): -193 meV/atom
SG: Cmmm, No. 65
V: 24.681 Å³ per atom

=====

Entry 11:
Pr12Cd6Pt | PBE | optimized geometry

abc: 8.2993 8.2993 8.2993
angles: 89.48 89.48 89.48
Last column: nearest neighbours and their distance in Å.
Fractional positions:
Pr  0.4474  0.8057  0.5282  4 Cd 3.34-3.62, 4 Pr 3.38-3.55
Pr  0.1943  0.4718  0.5526  4 Cd 3.34-3.62, 4 Pr 3.38-3.55
Pr  0.5282  0.4474  0.8057  4 Cd 3.34-3.62, 4 Pr 3.38-3.55
Pr  0.1366  0.3578  0.0224  1 Pt 3.20, 4 Cd 3.26-3.47, 4 Pr 3.28-3.55
Pr  0.0224  0.1366  0.3578  1 Pt 3.20, 4 Cd 3.26-3.47, 4 Pr 3.28-3.55
Pr  0.6422  0.9776  0.8634  1 Pt 3.20, 4 Cd 3.26-3.47, 4 Pr 3.28-3.55
Pr  0.9776  0.8634  0.6422  1 Pt 3.20, 4 Cd 3.26-3.47, 4 Pr 3.28-3.55
Pr  0.5526  0.1943  0.4718  4 Cd 3.34-3.62, 4 Pr 3.38-3.55
Pr  0.3578  0.0224  0.1366  1 Pt 3.20, 4 Cd 3.26-3.47, 4 Pr 3.28-3.55
Pr  0.8057  0.5282  0.4474  4 Cd 3.34-3.62, 4 Pr 3.38-3.55
Pr  0.8634  0.6422  0.9776  1 Pt 3.20, 4 Cd 3.26-3.47, 4 Pr 3.28-3.55
Pr  0.4718  0.5526  0.1943  4 Cd 3.34-3.62, 4 Pr 3.38-3.55
Cd  0.1094  0.7410  0.2640  1 Pt 3.19, 7 Pr 3.26-3.47, 2 Cd 3.33
Cd  0.7410  0.2640  0.1094  1 Pt 3.19, 7 Pr 3.26-3.47, 2 Cd 3.33
Cd  0.2640  0.1094  0.7410  1 Pt 3.19, 7 Pr 3.26-3.47, 2 Cd 3.33
Cd  0.7360  0.8906  0.2590  1 Pt 3.19, 7 Pr 3.26-3.47, 2 Cd 3.33
Cd  0.2590  0.7360  0.8906  1 Pt 3.19, 7 Pr 3.26-3.47, 2 Cd 3.33
Cd  0.8906  0.2590  0.7360  1 Pt 3.19, 7 Pr 3.26-3.47, 2 Cd 3.33
Pt  0.0000  0.0000  0.0000  6 Cd 3.19, 6 Pr 3.20

Output
ΔH_f (0 K): -181 meV/atom
SG: R-3, No. 148
V: 30.083 Å³ per atom

=====

Entry 12:
PrCdPt6 | PBE | optimized geometry

abc: 5.2933 5.2933 5.2933
angles: 90.00 90.00 90.00
Last column: nearest neighbours and their distance in Å.
Fractional positions:
Pt  0.5000  0.7535  0.0000  2 Pt 2.61-2.68
Pt  0.2465  0.0000  0.5000  2 Pt 2.61-2.68
Pt  0.5000  0.2465  0.0000  2 Pt 2.61-2.68
Pt  0.7535  0.0000  0.5000  2 Pt 2.61-2.68
Pt  0.0000  0.5000  0.7535  2 Pt 2.61-2.68
Pt  0.0000  0.5000  0.2465  2 Pt 2.61-2.68
Pr  0.5000  0.5000  0.5000  12 Pt 2.97
Cd  0.0000  0.0000  0.0000  12 Pt 2.95

Output
ΔH_f (0 K): -159 meV/atom
SG: Pm-3, No. 200
V: 18.539 Å³ per atom

=====

> Which of these has the lowest V?

PrCdPt6

=====

Copy entry 11 word for word.
Pr12Cd6Pt | PBE | optimized geometry

abc: 8.2993 8.2993 8.2993
angles: 89.48 89.48 89.48
Last column: nearest neighbours and their distance in Å.
Fractional positions:
Pr  0.4474  0.8057  0.5282  4 Cd 3.34-3.62, 4 Pr 3.38-3.55
Pr  0.1943  0.4718  0.5526  4 Cd 3.34-3.62, 4 Pr 3.38-3.55
Pr  0.5282  0.4474  0.8057  4 Cd 3.34-3.62, 4 Pr 3.38-3.55
Pr  0.1366  0.3578  0.0224  1 Pt 3.20, 4 Cd 3.26-3.47, 4 Pr 3.28-3.55
Pr  0.0224  0.1366  0.3578  1 Pt 3.20, 4 Cd 3.26-3.47, 4 Pr 3.28-3.55
Pr  0.6422  0.9776  0.8634  1 Pt 3.20, 4 Cd 3.26-3.47, 4 Pr 3.28-3.55
Pr  0.9776  0.8634  0.6422  1 Pt 3.20, 4 Cd 3.26-3.47, 4 Pr 3.28-3.55
Pr  0.5526  0.1943  0.4718  4 Cd 3.34-3.62, 4 Pr 3.38-3.55
Pr  0.3578  0.0224  0.1366  1 Pt 3.20, 4 Cd 3.26-3.47, 4 Pr 3.28-3.55
Pr  0.8057  0.5282  0.4474  4 Cd 3.34-3.62, 4 Pr 3.38-3.55
Pr  0.8634  0.6422  0.9776  1 Pt 3.20, 4 Cd 3.26-3.47, 4 Pr 3.28-3.55
Pr  0.4718  0.5526  0.1943  4 Cd 3.34-3.62, 4 Pr 3.38-3.55
Cd  0.1094  0.7410  0.2640  1 Pt 3.19, 7 Pr 3.26-3.47, 2 Cd 3.33
Cd  0.7410  0.2640  0.1094  1 Pt 3.19, 7 Pr 3.26-3.47, 2 Cd 3.33
Cd  0.2640  0.1094  0.7410  1 Pt 3.19, 7 Pr 3.26-3.47, 2 Cd 3.33
Cd  0.7360  0.8906  0.2590  1 Pt 3.19, 7 Pr 3.26-3.47, 2 Cd 3.33
Cd  0.2590  0.7360  0.8906  1 Pt 3.19, 7 Pr 3.26-3.47, 2 Cd 3.33
Cd  0.8906  0.2590  0.7360  1 Pt 3.19, 7 Pr 3.26-3.47, 2 Cd 3.33
Pt  0.0000  0.0000  0.0000  6 Cd 3.19, 6 Pr 3.20

Output
ΔH_f (0 K): -181 meV/atom
SG: R-3, No. 148
V: 30.083 Å³ per atom